Entry 1:
Entry from the Alexandria database: crystalline YGa2Ni at its relaxed geometry (PBE).

The structure belongs to space group Pnma (No. 62); the cell edges are 15.372, 6.672 and 5.468 Å and the angles 90.00°, 90.00° and 90.00°. The asymmetric unit holds Y at (0.106, 0.250, 0.243), Y at (0.144, 0.750, 0.483), Ga at (0.036, 0.054, 0.752), Ga at (0.213, 0.555, 0.974), Ni at (0.073, 0.750, 0.997) and Ni at (0.177, 0.250, 0.729).

Its total energy is -166.67 eV/cell. Its formation energy is -0.634 eV/atom.


Entry 2:
Entry from the Alexandria database: crystalline CuAgF3 at its relaxed geometry (PBE).

The structure belongs to space group P2_1/m (No. 11); the cell edges are 3.124, 7.098 and 6.622 Å and the angles 90.00°, 103.25° and 90.00°. The asymmetric unit holds Cu at (0.136, 0.250, 0.276), Ag at (0.360, 0.250, 0.703), F at (0.012, 0.750, 0.031) and F at (0.345, 0.572, 0.685).

Its total energy is -37.18 eV/cell. As for the distance to the lowest polymorph of the same formula: 107 meV per atom.


What did the first record say?
Entry from the Alexandria database: crystalline YGa2Ni at its relaxed geometry (PBE).

The structure belongs to space group Pnma (No. 62); the cell edges are 15.372, 6.672 and 5.468 Å and the angles 90.00°, 90.00° and 90.00°. The asymmetric unit holds Y at (0.106, 0.250, 0.243), Y at (0.144, 0.750, 0.483), Ga at (0.036, 0.054, 0.752), Ga at (0.213, 0.555, 0.974), Ni at (0.073, 0.750, 0.997) and Ni at (0.177, 0.250, 0.729).

Its total energy is -166.67 eV/cell. Its formation energy is -0.634 eV/atom.


What did the second record say?
Entry from the Alexandria database: crystalline CuAgF3 at its relaxed geometry (PBE).

The structure belongs to space group P2_1/m (No. 11); the cell edges are 3.124, 7.098 and 6.622 Å and the angles 90.00°, 103.25° and 90.00°. The asymmetric unit holds Cu at (0.136, 0.250, 0.276), Ag at (0.360, 0.250, 0.703), F at (0.012, 0.750, 0.031) and F at (0.345, 0.572, 0.685).

Its total energy is -37.18 eV/cell. As for the distance to the lowest polymorph of the same formula: 107 meV per atom.